NaAcZn2O4: relaxed, GGA-PBE.

Properties
formation energy without anion corrections	-1859	meV per atom
space group	I-42m (121)
E_tot	-5.34	eV/atom
total magnetic moment	0.000	μB per cell

a = 5.6023 Å, b = 5.3865 Å, c = 5.3865 Å
α = 62.68°, β = 58.67°, γ = 58.67°
Atoms (fractional coordinates):
Ac (0.0000, 0.0000, 0.0000)
O (0.4430, 0.0810, 0.5569)
O (0.0808, 0.9190, 0.4431)
Zn (0.7501, 0.7499, 0.7499)
O (0.9192, 0.5569, 0.0809)
Zn (0.2499, 0.2501, 0.2501)
O (0.5570, 0.4431, 0.9190)
Na (0.5000, 0.5000, 0.5000)